# 1
Material: NiRuBr2
Method: DFT, PBE
State: optimized geometry

Unit cell a=3.2559 b=6.2733 c=7.8894 alpha=90.00 beta=90.00 gamma=90.00
Sites, in units of the cell vectors:
Ni: 0.0000 0.0000 0.0000
Ni: 0.5000 0.5000 0.0000
Ru: 0.0000 0.0000 0.5000
Ru: 0.5000 0.5000 0.5000
Br: 0.0000 0.5000 0.2303
Br: 0.0000 0.5000 0.7697
Br: 0.5000 0.0000 0.2303
Br: 0.5000 0.0000 0.7697

- Calculated total energy: -31.0 eV/cell
- Formation energy without anion corrections: 0.724 eV per atom
- E above lowest polymorph: 551 meV per atom

---

# 2
Material: AcCdGaPd
Method: DFT, PBE
State: optimized geometry

Unit cell a=7.2528 b=7.2528 c=7.2528 alpha=90.00 beta=90.00 gamma=90.00
Sites, in units of the cell vectors:
Ac: 0.0000 0.0000 0.0000
Ac: 0.0000 0.5000 0.5000
Ac: 0.5000 0.0000 0.5000
Ac: 0.5000 0.5000 0.0000
Cd: 0.0000 0.0000 0.5000
Cd: 0.0000 0.5000 0.0000
Cd: 0.5000 0.0000 0.0000
Cd: 0.5000 0.5000 0.5000
Ga: 0.2500 0.2500 0.7500
Ga: 0.2500 0.7500 0.2500
Ga: 0.7500 0.2500 0.2500
Ga: 0.7500 0.7500 0.7500
Pd: 0.2500 0.2500 0.2500
Pd: 0.2500 0.7500 0.7500
Pd: 0.7500 0.2500 0.7500
Pd: 0.7500 0.7500 0.2500

- Calculated total energy: -60.0 eV/cell
- ΔE_f: -0.44 eV per atom

---

# 3
Material: AcPrGdHg
Method: DFT, PBE
State: optimized geometry

Unit cell a=8.0252 b=8.0252 c=8.0252 alpha=90.00 beta=90.00 gamma=90.00
Sites, in units of the cell vectors:
Ac: 0.0000 0.0000 0.0000
Ac: 0.0000 0.5000 0.5000
Ac: 0.5000 0.0000 0.5000
Ac: 0.5000 0.5000 0.0000
Pr: 0.2500 0.2500 0.7500
Pr: 0.2500 0.7500 0.2500
Pr: 0.7500 0.2500 0.2500
Pr: 0.7500 0.7500 0.7500
Gd: 0.2500 0.2500 0.2500
Gd: 0.2500 0.7500 0.7500
Gd: 0.7500 0.2500 0.7500
Gd: 0.7500 0.7500 0.2500
Hg: 0.0000 0.0000 0.5000
Hg: 0.0000 0.5000 0.0000
Hg: 0.5000 0.0000 0.0000
Hg: 0.5000 0.5000 0.5000

- Calculated total energy: -93.1 eV/cell
- ΔE_f: 0.00 eV per atom

---

# 4
Material: Ac2YPu
Method: DFT, PBE
State: optimized geometry

Unit cell a=3.7878 b=3.7878 c=10.3680 alpha=90.00 beta=90.00 gamma=90.00
Sites, in units of the cell vectors:
Ac: 0.0000 0.0000 0.2469
Ac: 0.0000 0.0000 0.7531
Y: 0.5000 0.5000 0.5000
Pu: 0.5000 0.5000 0.0000

- Calculated total energy: -28.4 eV/cell
- E above lowest polymorph: 0 meV per atom
- ΔE_f: 0.16 eV per atom

---

# 5
Material: AcTbCo
Method: DFT, PBE
State: optimized geometry

Unit cell a=3.5499 b=3.5499 c=13.2574 alpha=90.00 beta=90.00 gamma=90.00
Sites, in units of the cell vectors:
Ac: 0.0000 0.0000 0.0000
Ac: 0.5000 0.5000 0.5000
Tb: 0.0000 0.0000 0.2536
Tb: 0.5000 0.5000 0.7536
Co: 0.0000 0.0000 0.6427
Co: 0.5000 0.5000 0.1427

- Calculated total energy: -31.3 eV/cell
- E above lowest polymorph: 131 meV per atom
- ΔE_f: 0.06 eV per atom

---

# 6
Material: Sc2InGa
Method: DFT, PBE
State: optimized geometry

Unit cell a=7.6842 b=7.6842 c=6.2432 alpha=90.00 beta=90.00 gamma=90.00
Sites, in units of the cell vectors:
Sc: 0.2284 0.2500 0.1250
Sc: 0.2500 0.7284 0.3750
Sc: 0.2500 0.7716 0.8750
Sc: 0.2716 0.2500 0.6250
Sc: 0.7284 0.7500 0.6250
Sc: 0.7500 0.2284 0.8750
Sc: 0.7500 0.2716 0.3750
Sc: 0.7716 0.7500 0.1250
In: 0.0000 0.0000 0.5000
In: 0.0000 0.5000 0.7500
In: 0.5000 0.0000 0.2500
In: 0.5000 0.5000 0.0000
Ga: 0.0000 0.0000 0.0000
Ga: 0.0000 0.5000 0.2500
Ga: 0.5000 0.0000 0.7500
Ga: 0.5000 0.5000 0.5000

- Calculated total energy: -75.9 eV/cell
- E above lowest polymorph: 366 meV per atom
- ΔE_f: -0.14 eV per atom

---

# 7
Material: SrCrNi2Bi
Method: DFT, PBE
State: optimized geometry

Unit cell a=4.6694 b=4.6694 c=6.0552 alpha=90.00 beta=90.00 gamma=90.00
Sites, in units of the cell vectors:
Sr: 0.0000 0.0000 0.0000
Cr: 0.5000 0.5000 0.5000
Ni: 0.0000 0.5000 0.0000
Ni: 0.5000 0.0000 0.0000
Bi: 0.0000 0.0000 0.5000

- Calculated total energy: -16.4 eV/cell
- ΔE_f: 2.07 eV per atom

---

# 8
Material: AcY2Ag6
Method: DFT, PBE
State: optimized geometry

Unit cell a=8.3241 b=8.3241 c=3.6136 alpha=90.00 beta=90.00 gamma=120.00
Sites, in units of the cell vectors:
Ac: 0.0000 0.0000 0.0000
Y: 0.3333 0.6667 0.0000
Y: 0.6667 0.3333 0.0000
Ag: 0.0000 0.3376 0.5000
Ag: 0.0000 0.6624 0.5000
Ag: 0.3376 0.0000 0.5000
Ag: 0.3376 0.3376 0.5000
Ag: 0.6624 0.0000 0.5000
Ag: 0.6624 0.6624 0.5000

- Calculated total energy: -36.4 eV/cell
- ΔE_f: -0.25 eV per atom

---

# 9
Material: Er2TmPu
Method: DFT, PBE
State: optimized geometry

Unit cell a=4.9141 b=4.9141 c=4.9104 alpha=90.00 beta=90.00 gamma=90.00
Sites, in units of the cell vectors:
Er: 0.0000 0.5000 0.0000
Er: 0.5000 0.0000 0.0000
Tm: 0.0000 0.0000 0.5000
Pu: 0.5000 0.5000 0.5000

- Calculated total energy: -27.4 eV/cell
- E above lowest polymorph: 51 meV per atom
- ΔE_f: 0.13 eV per atom

---

# 10
Material: ZnCd2Te
Method: DFT, PBE
State: optimized geometry

Unit cell a=7.3391 b=7.3391 c=7.3391 alpha=90.00 beta=90.00 gamma=90.00
Sites, in units of the cell vectors:
Zn: 0.0000 0.0000 0.0000
Zn: 0.0000 0.5000 0.5000
Zn: 0.5000 0.0000 0.5000
Zn: 0.5000 0.5000 0.0000
Cd: 0.0000 0.0000 0.5000
Cd: 0.0000 0.5000 0.0000
Cd: 0.2500 0.2500 0.2500
Cd: 0.2500 0.7500 0.7500
Cd: 0.5000 0.0000 0.0000
Cd: 0.5000 0.5000 0.5000
Cd: 0.7500 0.2500 0.7500
Cd: 0.7500 0.7500 0.2500
Te: 0.2500 0.2500 0.7500
Te: 0.2500 0.7500 0.2500
Te: 0.7500 0.2500 0.2500
Te: 0.7500 0.7500 0.7500

- Calculated total energy: -22.9 eV/cell
- Formation energy without anion corrections: 0.128 eV per atom
- E above lowest polymorph: 150 meV per atom

---

# 11
Material: La6Pr8Pb
Method: DFT, PBE
State: optimized geometry

Unit cell a=9.5848 b=9.5848 c=6.8586 alpha=90.00 beta=90.00 gamma=120.00
Sites, in units of the cell vectors:
La: 0.0881 0.4399 0.1646
La: 0.3518 0.9119 0.1646
La: 0.4399 0.3518 0.8354
La: 0.5601 0.6482 0.1646
La: 0.6482 0.0881 0.8354
La: 0.9119 0.5601 0.8354
Pr: 0.0394 0.2678 0.6758
Pr: 0.2285 0.9606 0.6758
Pr: 0.2678 0.2285 0.3242
Pr: 0.3333 0.6667 0.6212
Pr: 0.6667 0.3333 0.3788
Pr: 0.7322 0.7715 0.6758
Pr: 0.7715 0.0394 0.3242
Pr: 0.9606 0.7322 0.3242
Pb: 0.0000 0.0000 0.0000

- Calculated total energy: -71.1 eV/cell
- ΔE_f: 0.02 eV per atom

---

# 12
Material: LaZrO3
Method: DFT, PBE
State: optimized geometry

Unit cell a=4.4787 b=4.4787 c=4.4787 alpha=90.00 beta=90.00 gamma=90.00
Sites, in units of the cell vectors:
La: 0.0000 0.0000 0.0000
Zr: 0.5000 0.5000 0.5000
O: 0.0000 0.0000 0.5000
O: 0.0000 0.5000 0.0000
O: 0.5000 0.0000 0.0000

- Calculated total energy: -35.3 eV/cell
- Formation energy without anion corrections: -1.390 eV per atom

---

# 13
Material: Ca4PdAu2
Method: DFT, PBE
State: optimized geometry

Unit cell a=8.8198 b=8.8198 c=8.8198 alpha=33.57 beta=33.57 gamma=33.57
Sites, in units of the cell vectors:
Ca: 0.1234 0.1234 0.1234
Ca: 0.3733 0.3733 0.3733
Ca: 0.6267 0.6267 0.6267
Ca: 0.8766 0.8766 0.8766
Pd: 0.0000 0.0000 0.0000
Au: 0.2491 0.2491 0.2491
Au: 0.7509 0.7509 0.7509

- Calculated total energy: -24.5 eV/cell
- ΔE_f: -0.68 eV per atom

---

# 14
Material: NaTmIn
Method: DFT, PBE
State: optimized geometry

Unit cell a=7.8674 b=7.3718 c=5.2702 alpha=74.91 beta=64.78 gamma=40.30
Sites, in units of the cell vectors:
Na: 0.1692 0.8308 0.1692
Na: 0.8308 0.1692 0.8308
Tm: 0.2500 0.2500 0.2500
Tm: 0.7500 0.7500 0.7500
In: 0.3855 0.3855 0.6145
In: 0.6145 0.6145 0.3855

- Calculated total energy: -17.0 eV/cell
- E above lowest polymorph: 80 meV per atom
- ΔE_f: 0.01 eV per atom

---

# 15
Material: La7Ho3Tm
Method: DFT, PBE
State: optimized geometry

Unit cell a=7.0908 b=10.2038 c=12.0721 alpha=104.27 beta=98.66 gamma=109.00
Sites, in units of the cell vectors:
La: 0.0000 0.0000 0.0000
La: 0.0211 0.8569 0.2411
La: 0.1480 0.4854 0.7074
La: 0.1800 0.3484 0.9760
La: 0.2356 0.1258 0.7368
La: 0.3322 0.8748 0.5150
La: 0.4145 0.5479 0.4931
La: 0.4599 0.9626 0.8967
La: 0.5370 0.9482 0.1993
La: 0.6405 0.4209 0.7262
La: 0.7048 0.3859 0.0326
La: 0.7998 0.8789 0.4788
La: 0.8778 0.5498 0.4377
La: 0.9596 0.2703 0.2360
Ho: 0.2069 0.1901 0.4727
Ho: 0.3690 0.6146 0.2321
Ho: 0.4251 0.2627 0.2368
Ho: 0.5827 0.6739 0.9697
Ho: 0.7714 0.1288 0.7372
Ho: 0.8474 0.7784 0.7299
Tm: 0.0864 0.6730 0.9716
Tm: 0.7124 0.2047 0.4751

- Calculated total energy: -102.9 eV/cell
- E above lowest polymorph: 0 meV per atom
- ΔE_f: 0.11 eV per atom

---

# 16
Material: LaIBrN2
Method: DFT, PBE
State: optimized geometry

Unit cell a=4.3826 b=4.3826 c=7.4631 alpha=90.00 beta=90.00 gamma=90.00
Sites, in units of the cell vectors:
La: 0.0000 0.0000 0.0000
I: 0.0000 0.0000 0.5000
Br: 0.5000 0.5000 0.5000
N: 0.0000 0.5000 0.0000
N: 0.5000 0.0000 0.0000

- Calculated total energy: -21.3 eV/cell
- Formation energy without anion corrections: 0.698 eV per atom
- E above lowest polymorph: 0 meV per atom

---

# 17
Material: NbTeHPdICl
Method: DFT, PBE
State: optimized geometry

Unit cell a=14.7837 b=3.4435 c=5.8574 alpha=90.00 beta=109.56 gamma=90.00
Sites, in units of the cell vectors:
Nb: 0.0000 0.0000 0.0000
Nb: 0.5000 0.5000 0.0000
Te: 0.4288 0.5000 0.4541
Te: 0.9288 0.0000 0.4541
H: 0.1083 0.0000 0.8923
H: 0.6083 0.5000 0.8923
Pd: 0.0675 0.5000 0.7097
Pd: 0.5675 0.0000 0.7097
I: 0.1398 0.5000 0.3222
I: 0.6398 0.0000 0.3222
Cl: 0.3656 0.0000 0.9123
Cl: 0.8656 0.5000 0.9123

- Calculated total energy: -54.1 eV/cell
- E above lowest polymorph: 61 meV per atom

---

# 18
Material: CaTiRu2Pb
Method: DFT, PBE
State: optimized geometry

Unit cell a=4.6285 b=4.6285 c=5.3400 alpha=90.00 beta=90.00 gamma=90.00
Sites, in units of the cell vectors:
Ca: 0.0000 0.0000 0.0000
Ti: 0.5000 0.5000 0.5000
Ru: 0.0000 0.5000 0.5000
Ru: 0.5000 0.0000 0.5000
Pb: 0.5000 0.5000 0.0000

- Calculated total energy: -29.7 eV/cell
- ΔE_f: 0.49 eV per atom

---

# 19
Material: Na2SrHg
Method: DFT, PBE
State: optimized geometry

Unit cell a=5.7510 b=5.7510 c=13.7794 alpha=90.00 beta=90.00 gamma=120.00
Sites, in units of the cell vectors:
Na: 0.0000 0.0000 0.0000
Na: 0.0000 0.0000 0.2487
Na: 0.3333 0.6667 0.6667
Na: 0.3333 0.6667 0.9154
Na: 0.6667 0.3333 0.3333
Na: 0.6667 0.3333 0.5821
Sr: 0.0000 0.0000 0.7470
Sr: 0.3333 0.6667 0.4137
Sr: 0.6667 0.3333 0.0803
Hg: 0.0000 0.0000 0.4951
Hg: 0.3333 0.6667 0.1618
Hg: 0.6667 0.3333 0.8285

- Calculated total energy: -15.9 eV/cell
- ΔE_f: -0.17 eV per atom

---

# 20
Material: KRhSe2
Method: DFT, PBE
State: optimized geometry

Unit cell a=8.1176 b=4.6565 c=12.4483 alpha=90.00 beta=102.67 gamma=90.00
Sites, in units of the cell vectors:
K: 0.2281 0.1402 0.1985
K: 0.2281 0.3598 0.6985
K: 0.7719 0.6402 0.3015
K: 0.7719 0.8598 0.8015
Rh: 0.3544 0.1560 0.4773
Rh: 0.3544 0.3440 0.9773
Rh: 0.6456 0.6560 0.0227
Rh: 0.6456 0.8440 0.5227
Se: 0.0483 0.1742 0.4392
Se: 0.0483 0.3258 0.9392
Se: 0.3781 0.6688 0.4140
Se: 0.3781 0.8312 0.9140
Se: 0.6219 0.1688 0.0860
Se: 0.6219 0.3312 0.5860
Se: 0.9517 0.6742 0.0608
Se: 0.9517 0.8258 0.5608

- Calculated total energy: -70.1 eV/cell
- Formation energy without anion corrections: -0.527 eV per atom

---

The following volume values (in Å³/cell) correspond, in order, to the records above: 161.1; 381.5; 516.8; 148.8; 167.1; 368.6; 132.0; 216.8; 118.6; 395.3; 545.7; 89.8; 186.9; 177.8; 774.6; 143.3; 281.0; 114.4; 394.7; 459.1.